The following is a DFT calculation (PBE) of an optimized crystal structure of HfPaTlO6. Values from VASP.

Summary:
- total DFT energy (no corrections) (eV/atom) = -8.399
- space group = P312 (149)

Geometry as Quantum ESPRESSO input:
```
&SYSTEM
  ibrav = 0, nat = 9, ntyp = 4
/
ATOMIC_SPECIES
Hf 178.49 Hf.upf
Pa 231.04 Pa.upf
Tl 204.38 Tl.upf
O 16.00 O.upf
CELL_PARAMETERS angstrom
5.515 0.000 0.000
-2.758 4.776 0.000
0.000 0.000 4.883
ATOMIC_POSITIONS angstrom
Hf 0.000 0.000 0.000
Pa 0.000 3.184 2.442
Tl 2.758 1.592 0.000
O -0.794 1.552 1.182
O -1.811 3.313 3.701
O 0.794 1.552 3.701
O -1.017 4.688 1.182
O 1.811 3.313 1.182
O 1.017 4.688 3.701
```